A plane-wave DFT calculation with PBE-GGA was carried out for a relaxed structure of Dy8CdRh2.

Output
DFT formation energy: -332 meV/atom
D(E_F): 25.2 states/eV per cell
crystal system: monoclinic
final energy: -56.092 eV per formula unit
density: 8.8 g/cm³

a b c (Å): 8.6021 13.3229 5.4794
angles (deg): 90.00 103.89 90.00
With the nearest neighbours (Å) after each atom.
Space group C2/m (No. 12)
One atom of each set of equivalent atoms:
Dy 0.0000 0.2467 0.0000 x4  2 Rh 2.84
Dy 0.1115 0.5000 0.8048 x4  2 Rh 3.13, 4 Dy 3.20-3.43, 1 Cd 3.26
Dy 0.2022 0.1279 0.5755 x8  2 Rh 2.84-2.88
Cd 0.0000 0.0000 0.0000 x2  12 Dy 3.26-3.64
Rh 0.0000 0.3032 0.5000 x4  8 Dy 2.84-3.13